Below is Hf2Bi after structural relaxation, with properties calculated at the PBE level.

Cell lengths 6.782, 6.782, 6.782 Å; angles 90.00, 90.00, 90.00 degrees
Space group Fm-3m (No. 225)
One atom of each set of equivalent atoms:
Hf 0.250 0.250 0.250 [8 per cell]
Bi 0.000 0.000 0.000 [4 per cell]

Output
**Total energy**: -7.543 eV/atom
**ρ**: 12.1 g/cm³
**M_tot**: 0.00 μB per formula unit

---

Below is Hf2HgBi2 after structural relaxation, with properties calculated at the PBE level.

Cell lengths 7.962, 7.962, 3.954 Å; angles 90.00, 90.00, 90.00 degrees
Space group P4/mbm (No. 127)
One atom of each set of equivalent atoms:
Hf 0.139 0.361 0.000 [4 per cell]
Hg 0.000 0.000 0.000 [2 per cell]
Bi 0.158 0.658 0.500 [4 per cell]

Output
**Total energy**: -5.741 eV/atom
**ρ**: 12.9 g/cm³
**M_tot**: 0.00 μB per formula unit

---

Below is HfHg2Bi after structural relaxation, with properties calculated at the PBE level.

Cell lengths 7.348, 7.348, 7.348 Å; angles 90.00, 90.00, 90.00 degrees
Space group F-43m (No. 216)
One atom of each set of equivalent atoms:
Hf 0.000 0.000 0.000 [4 per cell]
Hg 0.000 0.000 0.500 [4 per cell]
Hg 0.250 0.250 0.250 [4 per cell]
Bi 0.250 0.250 0.750 [4 per cell]

Output
**Total energy**: -3.381 eV/atom
**ρ**: 13.2 g/cm³
**M_tot**: 0.00 μB per formula unit

---

Below is HoHfBi after structural relaxation, with properties calculated at the PBE level.

Cell lengths 7.025, 7.025, 7.025 Å; angles 90.00, 90.00, 90.00 degrees
Space group F-43m (No. 216)
One atom of each set of equivalent atoms:
Ho 0.000 0.000 0.000 [4 per cell]
Hf 0.000 0.000 0.500 [4 per cell]
Bi 0.250 0.250 0.750 [4 per cell]

Output
**Total energy**: -6.022 eV/atom
**ρ**: 10.6 g/cm³
**M_tot**: 0.62 μB per formula unit